Here is crystalline LuTaNiRh at its relaxed geometry from the Alexandria database. Energies are from PBE-GGA.

Properties
mass density = 12.75 Mg/m³
E_tot = -7.747 eV per atom
SG = F-43m (216)
calculated formation energy = -0.370 eV/atom

abc: 4.5682 4.5682 4.5682
angles: 60.00 60.00 60.00
Atoms (fractional coordinates):
Lu 0.0000 0.0000 0.0000
Ta 0.5000 0.5000 0.5000
Ni 0.2500 0.2500 0.2500
Rh 0.7500 0.7500 0.7500